Record 1
Below is an optimized crystal structure of Cs2TbPbBr6, with properties calculated at the GGA-PBE level.

Results
Magnetic moment ... 1.00 Bohr magnetons per cell
Raw formation energy ... -1.540 eV/atom

Unit cell a=8.4857 b=9.6841 c=8.3648 alpha=49.54 beta=56.86 gamma=75.68
Site moments in Bohr magnetons follow the coordinates.
Positions (direct):
1 Cs 0.7850 0.2796 0.4987  0.01
2 Cs 0.2150 0.7204 0.5013  0.01
3 Tb 0.5000 0.5000 0.0000  0.02
4 Pb 0.0000 0.0000 0.0000  0.31
5 Br 0.3317 0.3167 0.5082  0.00
6 Br 0.6865 0.7729 0.8959  0.01
7 Br 0.1834 0.6849 0.9943  0.01
8 Br 0.8166 0.3151 0.0057  0.01
9 Br 0.3135 0.2271 0.1041  0.01
10 Br 0.6683 0.6833 0.4918  0.00

Record 2
Below is an optimized crystal structure of CsTbPbBr6, with properties calculated at the GGA-PBE level.

Results
Magnetic moment ... 0.00 Bohr magnetons per cell
Raw formation energy ... -1.581 eV/atom

Unit cell a=7.7196 b=7.7190 c=7.9157 alpha=90.00 beta=90.00 gamma=60.00
Positions (direct):
1 Cs 0.0000 0.0000 0.0000
2 Tb 0.3333 0.3333 0.5000
3 Pb 0.6667 0.6667 0.5000
4 Br 0.0219 0.3639 0.2899
5 Br 0.3639 0.0220 0.7100
6 Br 0.6140 0.3639 0.7101
7 Br 0.0220 0.6141 0.7101
8 Br 0.3639 0.6141 0.2899
9 Br 0.6141 0.0220 0.2899

Record 3
Below is an optimized crystal structure of CsTePbBr6, with properties calculated at the GGA-PBE level.

Results
Magnetic moment ... 1.04 Bohr magnetons per cell
Raw formation energy ... -0.806 eV/atom

Unit cell a=7.7592 b=7.7250 c=7.9905 alpha=88.51 beta=91.34 gamma=62.43
Site moments in Bohr magnetons follow the coordinates.
Positions (direct):
1 Cs 0.0060 0.0066 0.9981  0.00
2 Te 0.3361 0.3369 0.4999  0.39
3 Pb 0.6843 0.6827 0.4995  0.01
4 Br 0.0247 0.3610 0.3071  0.01
5 Br 0.3625 0.0221 0.6921  0.01
6 Br 0.6090 0.3551 0.7076  0.02
7 Br 0.9844 0.6358 0.7431  0.11
8 Br 0.3529 0.6130 0.2934  0.02
9 Br 0.6399 0.9870 0.2591  0.12

Record 4
Below is an optimized crystal structure of CsTiPbBr6, with properties calculated at the GGA-PBE level.

Results
Magnetic moment ... 1.00 Bohr magnetons per cell
Raw formation energy ... -1.240 eV/atom

Unit cell a=7.4832 b=7.4833 c=7.8557 alpha=89.90 beta=90.10 gamma=59.91
Site moments in Bohr magnetons follow the coordinates.
Positions (direct):
1 Cs 0.9996 0.9996 0.0000  0.00
2 Ti 0.3329 0.3329 0.5000  0.92
3 Pb 0.6660 0.6660 0.5000  0.01
4 Br 0.0434 0.3504 0.3034  -0.01
5 Br 0.3503 0.0435 0.6966  -0.01
6 Br 0.6045 0.3516 0.6978  -0.01
7 Br 0.0430 0.6085 0.6946  -0.01
8 Br 0.3515 0.6045 0.3022  -0.01
9 Br 0.6084 0.0431 0.3054  -0.01

Record 5
Below is an optimized crystal structure of Cs2TlPbBr5, with properties calculated at the GGA-PBE level.

Results
Magnetic moment ... 0.00 Bohr magnetons per cell
Raw formation energy ... -1.262 eV/atom

Unit cell a=5.8611 b=5.8611 c=12.4512 alpha=90.00 beta=90.00 gamma=90.00
Positions (direct):
1 Cs 0.5000 0.5000 0.2833
2 Cs 0.5000 0.5000 0.7167
3 Tl 0.0000 0.0000 0.0000
4 Pb 0.0000 0.0000 0.5000
5 Br 0.0000 0.5000 0.5000
6 Br 0.5000 0.0000 0.5000
7 Br 0.0000 0.0000 0.7445
8 Br 0.0000 0.0000 0.2555
9 Br 0.5000 0.5000 0.0000

Record 6
Below is an optimized crystal structure of CsTlPbBr6, with properties calculated at the GGA-PBE level.

Results
Magnetic moment ... 0.00 Bohr magnetons per cell
Raw formation energy ... -0.931 eV/atom

Unit cell a=7.7044 b=7.7042 c=7.8586 alpha=90.00 beta=90.01 gamma=60.00
Positions (direct):
1 Cs 0.0000 0.0000 0.0000
2 Tl 0.3334 0.3334 0.5001
3 Pb 0.6666 0.6667 0.4999
4 Br 0.0245 0.3641 0.2884
5 Br 0.3641 0.0244 0.7116
6 Br 0.6114 0.3641 0.7116
7 Br 0.0243 0.6115 0.7116
8 Br 0.3641 0.6114 0.2884
9 Br 0.6114 0.0244 0.2884

Record 7
Below is an optimized crystal structure of Cs4Tl3PbBr12, with properties calculated at the GGA-PBE level.

Results
Magnetic moment ... 0.00 Bohr magnetons per cell
Raw formation energy ... -1.142 eV/atom

Unit cell a=10.2253 b=10.2253 c=10.2253 alpha=109.47 beta=109.47 gamma=109.47
Positions (direct):
1 Cs 0.5000 0.5000 0.5000
2 Cs 0.0000 0.0000 0.5000
3 Cs 0.5000 0.0000 0.0000
4 Cs 0.0000 0.5000 0.0000
5 Tl 0.5000 0.0000 0.5000
6 Tl 0.5000 0.5000 0.0000
7 Tl 0.0000 0.5000 0.5000
8 Pb 0.0000 0.0000 0.0000
9 Br 0.2500 0.5000 0.7500
10 Br 0.7499 0.0000 0.7499
11 Br 0.2501 0.0000 0.2501
12 Br 0.7500 0.5000 0.2500
13 Br 0.7499 0.7499 0.0000
14 Br 0.2501 0.2501 0.0000
15 Br 0.7500 0.2500 0.5000
16 Br 0.2500 0.7500 0.5000
17 Br 0.5000 0.2500 0.7500
18 Br 0.0000 0.7499 0.7499
19 Br 0.5000 0.7500 0.2500
20 Br 0.0000 0.2501 0.2501

Record 8
Below is an optimized crystal structure of CsTl2Pb2Br7, with properties calculated at the GGA-PBE level.

Results
Magnetic moment ... 0.00 Bohr magnetons per cell
Raw formation energy ... -1.032 eV/atom

Unit cell a=5.9725 b=6.5632 c=14.0611 alpha=103.50 beta=102.26 gamma=90.00
Positions (direct):
1 Cs 0.0000 0.0768 0.0000
2 Tl 0.2771 0.7978 0.5543
3 Tl 0.7229 0.2435 0.4457
4 Pb 0.3908 0.4157 0.7815
5 Pb 0.6092 0.6342 0.2185
6 Br 0.4009 0.8627 0.8019
7 Br 0.7257 0.7488 0.4514
8 Br 0.1113 0.5715 0.2226
9 Br 0.5991 0.0608 0.1981
10 Br 0.2743 0.2975 0.5486
11 Br 0.8887 0.3489 0.7774
12 Br 0.5000 0.4414 0.0000

Record 9
Below is an optimized crystal structure of Cs2TlPb2Br7, with properties calculated at the GGA-PBE level.

Results
Magnetic moment ... 0.00 Bohr magnetons per cell
Raw formation energy ... -1.178 eV/atom

Unit cell a=5.9554 b=5.9554 c=15.5032 alpha=78.90 beta=78.90 gamma=90.00
Positions (direct):
1 Cs 0.8170 0.8170 0.3584
2 Cs 0.1830 0.1830 0.6416
3 Tl 0.0000 0.0000 0.0000
4 Pb 0.6008 0.6008 0.7986
5 Pb 0.3992 0.3992 0.2014
6 Br 0.5000 0.5000 0.0000
7 Br 0.3034 0.3034 0.4013
8 Br 0.6966 0.6966 0.5987
9 Br 0.9067 0.4059 0.1863
10 Br 0.4059 0.9067 0.1863
11 Br 0.5941 0.0933 0.8137
12 Br 0.0933 0.5941 0.8137

Record 10
Below is an optimized crystal structure of CsTlPbBr4, with properties calculated at the GGA-PBE level.

Results
Magnetic moment ... 0.00 Bohr magnetons per cell
Raw formation energy ... -1.126 eV/atom

Unit cell a=5.9667 b=5.9667 c=9.7112 alpha=107.89 beta=107.89 gamma=90.00
Positions (direct):
1 Cs 0.6361 0.6361 0.2721
2 Tl 0.3559 0.3559 0.7117
3 Pb 0.9994 0.9994 0.9989
4 Br 0.9967 0.4967 0.9933
5 Br 0.4967 0.9967 0.9933
6 Br 0.8342 0.8342 0.6684
7 Br 0.1811 0.1811 0.3622

Record 11
Below is an optimized crystal structure of Cs2Tl2PbBr6, with properties calculated at the GGA-PBE level.

Results
Magnetic moment ... 0.00 Bohr magnetons per cell
Raw formation energy ... -1.208 eV/atom

Unit cell a=8.5018 b=8.5018 c=8.0004 alpha=100.56 beta=100.56 gamma=115.79
Positions (direct):
1 Cs 0.3444 0.6556 0.5000
2 Cs 0.6556 0.3444 0.5000
3 Tl 0.8257 0.1743 0.0000
4 Tl 0.1743 0.8257 0.0000
5 Pb 0.0000 0.0000 0.5000
6 Br 0.8109 0.8109 0.7536
7 Br 0.0666 0.3682 0.7373
8 Br 0.1891 0.1891 0.2464
9 Br 0.3682 0.0666 0.7373
10 Br 0.9334 0.6318 0.2627
11 Br 0.6318 0.9334 0.2627

Record 12
Below is an optimized crystal structure of CsTl2PbBr8, with properties calculated at the GGA-PBE level.

Results
Magnetic moment ... 0.00 Bohr magnetons per cell
Raw formation energy ... -0.787 eV/atom

Unit cell a=7.3994 b=7.3994 c=10.6329 alpha=90.00 beta=90.00 gamma=120.00
Positions (direct):
1 Cs 0.0000 0.0000 0.0000
2 Tl 0.6667 0.3333 0.2448
3 Tl 0.3333 0.6667 0.7552
4 Pb 0.0000 0.0000 0.5000
5 Br 0.3333 0.6667 0.0070
6 Br 0.3095 0.3328 0.3206
7 Br 0.6672 0.9767 0.3206
8 Br 0.6667 0.3333 0.9930
9 Br 0.3328 0.0233 0.6794
10 Br 0.6905 0.6672 0.6794
11 Br 0.9767 0.3095 0.6794
12 Br 0.0233 0.6905 0.3206